1.
Material: TcCl3
Method: DFT, PBE
State: optimized geometry

Geometry as POSCAR:
```
TcCl3
1.0
-0.8437 -3.7412 1.5413
2.6589 0.6755 3.0951
-4.6341 2.4636 3.4434
Tc Cl
1 3
direct
0.0000 0.5000 0.1973 Tc
0.0000 0.0000 0.0152 Cl
0.5000 0.0000 0.4393 Cl
0.5000 0.5000 0.0148 Cl
```

## Properties
Its space group is P4mm (99).



2.
Material: MnC3I
Method: DFT, PBE
State: optimized geometry

Geometry as POSCAR:
```
MnC3I
1.0
3.9569 0.0000 0.0000
0.0000 3.9569 0.0000
0.0000 0.0000 3.9569
I C Mn
1 3 1
direct
0.5000 0.5000 0.5000 I
0.0000 0.5000 0.0000 C
0.0000 0.0000 0.5000 C
0.5000 0.0000 0.0000 C
0.0000 0.0000 0.0000 Mn
```

## Properties
Its space group is Pm-3m (221).



3.
Material: HgSbAsPb
Method: DFT, PBE
State: optimized geometry

Geometry as POSCAR:
```
HgSbAsPb
1.0
5.2701 0.0000 0.0000
2.6351 4.5640 0.0000
2.6351 1.5213 4.3030
Pb Sb As Hg
1 1 1 1
direct
0.0000 0.0000 0.0000 Pb
0.5000 0.5000 0.5000 Sb
0.7500 0.7500 0.7500 As
0.2500 0.2500 0.2500 Hg
```

## Properties
Its space group is F-43m (216).



The records above yield ΔE_f (raw) values of 126, 2150, 184 meV per atom, respectively.
The records above yield M_tot values of 2.3, 0.3, 0.0 μB/cell, respectively.